Compound: Ti3VF
Source: the Alexandria database
Functional: PBE+U
Structure: optimized geometry

Results
- Distance to the lowest polymorph of the same formula: 0.000 eV per formula unit
- Uncorrected energy: -34.31 eV for the cell shown

Unit cell a=4.2310 b=4.2310 c=4.2310 alpha=90.00 beta=90.00 gamma=90.00
Fractional coordinates of all 5 atoms:
1 Ti 0.0000 0.0000 0.5000
2 Ti 0.0000 0.5000 0.0000
3 Ti 0.5000 0.0000 0.0000
4 V 0.5000 0.5000 0.5000
5 F 0.0000 0.0000 0.0000